1.
Compound: AcPuSe2S
Source: the Alexandria database
Functional: GGA-PBE
Structure: relaxed

Properties
symmetry: No. 129
DOS at the Fermi energy: 8.97 states/eV/f.u.
uncorrected formation energy: -1.6135 eV/atom
magnetization: 4.788 μB/f.u.

Geometry as CIF:
```
data_AcPuSe2S
_space_group_name_H-M_alt 'P 1'
_space_group_IT_number 1
_space_group_name_Hall 'P 1'
_cell_length_a 4.3623
_cell_length_b 4.3623
_cell_length_c 15.5164
_cell_angle_alpha 90.00
_cell_angle_beta 90.00
_cell_angle_gamma 90.00
loop_
_atom_site_label
_atom_site_type_symbol
_atom_site_fract_x
_atom_site_fract_y
_atom_site_fract_z
Ac1 Ac 0.2500 0.2500 0.1225
Ac2 Ac 0.7500 0.7500 0.8775
Pu1 Pu 0.2500 0.2500 0.6038
Pu2 Pu 0.7500 0.7500 0.3962
Se1 Se 0.2500 0.2500 0.3120
Se2 Se 0.2500 0.2500 0.9089
Se3 Se 0.7500 0.7500 0.0911
Se4 Se 0.7500 0.7500 0.6879
S1 S 0.2500 0.7500 0.5000
S2 S 0.7500 0.2500 0.5000
```

2.
Compound: InCoBr
Source: the Alexandria database
Functional: GGA-PBE
Structure: relaxed

Properties
symmetry: No. 216
DOS at the Fermi energy: 3.47 states/eV/f.u.
uncorrected formation energy: 0.4343 eV/atom
magnetization: 0.155 μB/f.u.

Geometry as CIF:
```
data_InCoBr
_space_group_name_H-M_alt 'P 1'
_space_group_IT_number 1
_space_group_name_Hall 'P 1'
_cell_length_a 4.4539
_cell_length_b 4.4539
_cell_length_c 4.4539
_cell_angle_alpha 60.00
_cell_angle_beta 60.00
_cell_angle_gamma 60.00
loop_
_atom_site_label
_atom_site_type_symbol
_atom_site_fract_x
_atom_site_fract_y
_atom_site_fract_z
In1 In 0.0000 0.0000 0.0000
Co1 Co 0.2500 0.2500 0.2500
Br1 Br 0.5000 0.5000 0.5000
```

3.
Compound: AlAgCl2
Source: the Alexandria database
Functional: GGA-PBE
Structure: relaxed

Properties
symmetry: No. 71
uncorrected formation energy: -0.2808 eV/atom
magnetization: 0.000 μB/f.u.

Geometry as CIF:
```
data_AlAgCl2
_space_group_name_H-M_alt 'P 1'
_space_group_IT_number 1
_space_group_name_Hall 'P 1'
_cell_length_a 5.3974
_cell_length_b 5.3974
_cell_length_c 5.3974
_cell_angle_alpha 135.76
_cell_angle_beta 106.80
_cell_angle_gamma 89.69
loop_
_atom_site_label
_atom_site_type_symbol
_atom_site_fract_x
_atom_site_fract_y
_atom_site_fract_z
Al1 Al 0.0000 0.0000 0.0000
Ag1 Ag 0.5000 0.5000 0.0000
Cl1 Cl 0.2710 0.7710 0.5000
Cl2 Cl 0.7290 0.2290 0.5000
```

4.
Compound: CaPmLu2
Source: the Alexandria database
Functional: GGA-PBE
Structure: relaxed

Properties
symmetry: No. 123
DOS at the Fermi energy: 7.19 states/eV/f.u.
magnetization: 0.000 μB/f.u.
DFT formation energy: 14 kJ per mole of atoms

Geometry as CIF:
```
data_CaPmLu2
_space_group_name_H-M_alt 'P 1'
_space_group_IT_number 1
_space_group_name_Hall 'P 1'
_cell_length_a 5.0586
_cell_length_b 5.0586
_cell_length_c 5.1196
_cell_angle_alpha 90.00
_cell_angle_beta 90.00
_cell_angle_gamma 90.00
loop_
_atom_site_label
_atom_site_type_symbol
_atom_site_fract_x
_atom_site_fract_y
_atom_site_fract_z
Ca1 Ca 0.0000 0.0000 0.0000
Pm1 Pm 0.5000 0.5000 0.0000
Lu1 Lu 0.0000 0.5000 0.5000
Lu2 Lu 0.5000 0.0000 0.5000
```

5.
Compound: SrTmIn
Source: the Alexandria database
Functional: GGA-PBE
Structure: relaxed

Properties
symmetry: No. 156
DOS at the Fermi energy: 1.98 states/eV/f.u.
magnetization: 0.000 μB/f.u.
DFT formation energy: -12 kJ per mole of atoms

Geometry as CIF:
```
data_SrTmIn
_space_group_name_H-M_alt 'P 1'
_space_group_IT_number 1
_space_group_name_Hall 'P 1'
_cell_length_a 5.4389
_cell_length_b 5.4389
_cell_length_c 3.9019
_cell_angle_alpha 90.00
_cell_angle_beta 90.00
_cell_angle_gamma 120.00
loop_
_atom_site_label
_atom_site_type_symbol
_atom_site_fract_x
_atom_site_fract_y
_atom_site_fract_z
Sr1 Sr 0.0000 0.0000 0.0000
Tm1 Tm 0.3333 0.6667 0.4716
In1 In 0.6667 0.3333 0.5658
```

6.
Compound: YI2N2
Source: the Alexandria database
Functional: GGA-PBE
Structure: relaxed

Properties
symmetry: No. 123
DOS at the Fermi energy: 3.31 states/eV/f.u.
uncorrected formation energy: 0.7326 eV/atom
magnetization: 3.605 μB/f.u.

Geometry as CIF:
```
data_YI2N2
_space_group_name_H-M_alt 'P 1'
_space_group_IT_number 1
_space_group_name_Hall 'P 1'
_cell_length_a 4.7320
_cell_length_b 4.7320
_cell_length_c 6.4426
_cell_angle_alpha 90.00
_cell_angle_beta 90.00
_cell_angle_gamma 90.00
loop_
_atom_site_label
_atom_site_type_symbol
_atom_site_fract_x
_atom_site_fract_y
_atom_site_fract_z
Y1 Y 0.0000 0.0000 0.0000
I1 I 0.0000 0.0000 0.5000
I2 I 0.5000 0.5000 0.5000
N1 N 0.0000 0.5000 0.0000
N2 N 0.5000 0.0000 0.0000
```

7.
Compound: K3Al4Au4
Source: the Alexandria database
Functional: GGA-PBE
Structure: relaxed

Properties
symmetry: No. 217
DOS at the Fermi energy: 4.27 states/eV/f.u.
magnetization: 0.000 μB/f.u.
DFT formation energy: -34 kJ per mole of atoms

Geometry as CIF:
```
data_K3Al4Au4
_space_group_name_H-M_alt 'P 1'
_space_group_IT_number 1
_space_group_name_Hall 'P 1'
_cell_length_a 7.0663
_cell_length_b 7.0663
_cell_length_c 7.0663
_cell_angle_alpha 109.47
_cell_angle_beta 109.47
_cell_angle_gamma 109.47
loop_
_atom_site_label
_atom_site_type_symbol
_atom_site_fract_x
_atom_site_fract_y
_atom_site_fract_z
K1 K 0.0000 0.5000 0.5000
K2 K 0.5000 0.0000 0.5000
K3 K 0.5000 0.5000 0.0000
Al1 Al 0.0000 0.0000 0.7455
Al2 Al 0.0000 0.7455 0.0000
Al3 Al 0.2545 0.2545 0.2545
Al4 Al 0.7455 0.0000 0.0000
Au1 Au 0.0000 0.0000 0.3789
Au2 Au 0.0000 0.3789 0.0000
Au3 Au 0.3789 0.0000 0.0000
Au4 Au 0.6211 0.6211 0.6211
```

8.
Compound: HfSeO3
Source: the Alexandria database
Functional: GGA-PBE
Structure: relaxed

Properties
symmetry: No. 221
DOS at the Fermi energy: 4.18 states/eV/f.u.
uncorrected formation energy: -0.2941 eV/atom
magnetization: 1.444 μB/f.u.

Geometry as CIF:
```
data_HfSeO3
_space_group_name_H-M_alt 'P 1'
_space_group_IT_number 1
_space_group_name_Hall 'P 1'
_cell_length_a 3.9742
_cell_length_b 3.9742
_cell_length_c 3.9742
_cell_angle_alpha 90.00
_cell_angle_beta 90.00
_cell_angle_gamma 90.00
loop_
_atom_site_label
_atom_site_type_symbol
_atom_site_fract_x
_atom_site_fract_y
_atom_site_fract_z
Hf1 Hf 0.0000 0.0000 0.0000
Se1 Se 0.5000 0.5000 0.5000
O1 O 0.0000 0.5000 0.5000
O2 O 0.5000 0.0000 0.5000
O3 O 0.5000 0.5000 0.0000
```

9.
Compound: SrLiGaN2
Source: the Alexandria database
Functional: GGA-PBE
Structure: relaxed

Properties
symmetry: No. 12
uncorrected formation energy: -0.5414 eV/atom
magnetization: 0.000 μB/f.u.

Geometry as CIF:
```
data_SrLiGaN2
_space_group_name_H-M_alt 'P 1'
_space_group_IT_number 1
_space_group_name_Hall 'P 1'
_cell_length_a 5.6955
_cell_length_b 5.6955
_cell_length_c 7.3150
_cell_angle_alpha 98.66
_cell_angle_beta 98.66
_cell_angle_gamma 35.28
loop_
_atom_site_label
_atom_site_type_symbol
_atom_site_fract_x
_atom_site_fract_y
_atom_site_fract_z
Sr1 Sr 0.1566 0.1566 0.1641
Sr2 Sr 0.8434 0.8434 0.8359
Li1 Li 0.1852 0.1852 0.5499
Li2 Li 0.8148 0.8148 0.4501
Ga1 Ga 0.4444 0.4444 0.3239
Ga2 Ga 0.5556 0.5556 0.6761
N1 N 0.1226 0.1226 0.8075
N2 N 0.3770 0.3770 0.5797
N3 N 0.6230 0.6230 0.4203
N4 N 0.8774 0.8774 0.1925
```

10.
Compound: RbTlCl3
Source: the Alexandria database
Functional: GGA-PBE
Structure: relaxed

Properties
symmetry: No. 119
DOS at the Fermi energy: 2.02 states/eV/f.u.
uncorrected formation energy: -1.0548 eV/atom
magnetization: 0.000 μB/f.u.

Geometry as CIF:
```
data_RbTlCl3
_space_group_name_H-M_alt 'P 1'
_space_group_IT_number 1
_space_group_name_Hall 'P 1'
_cell_length_a 16.3016
_cell_length_b 16.3016
_cell_length_c 16.3016
_cell_angle_alpha 161.23
_cell_angle_beta 161.23
_cell_angle_gamma 26.67
loop_
_atom_site_label
_atom_site_type_symbol
_atom_site_fract_x
_atom_site_fract_y
_atom_site_fract_z
Rb1 Rb 0.0000 0.0000 0.0000
Rb2 Rb 0.7500 0.2500 0.5000
Tl1 Tl 0.1414 0.6414 0.5000
Tl2 Tl 0.3587 0.8586 0.5000
Cl1 Cl 0.3060 0.3060 0.0000
Cl2 Cl 0.3435 0.0902 0.2533
Cl3 Cl 0.6940 0.6940 0.0000
Cl4 Cl 0.8370 0.0902 0.7467
Cl5 Cl 0.9098 0.1630 0.2533
Cl6 Cl 0.9098 0.6565 0.7467
```